Entry 1:
Below is an optimized crystal structure of BaPmMgSi, with properties calculated at the PBE level.

Structure (POSCAR):
```
BaPmMgSi
1.0
0.000 3.883 3.883
3.883 0.000 3.883
3.883 3.883 0.000
Ba Pm Mg Si
1 1 1 1
direct
0.000 0.000 0.000
0.500 0.500 0.500
0.750 0.750 0.750
0.250 0.250 0.250
```

Properties
Symmetry: No. 216
Formation energy from raw total energies: -0.086 eV per atom

***

Entry 2:
Below is an optimized crystal structure of IrAu, with properties calculated at the PBE level.

Structure (POSCAR):
```
IrAu
1.0
8.430 0.000 0.000
0.000 8.430 0.000
0.000 0.000 2.672
Ir Au
4 4
direct
0.106 0.106 0.000
0.394 0.606 0.500
0.606 0.394 0.500
0.894 0.894 0.000
0.202 0.798 0.000
0.298 0.298 0.500
0.702 0.702 0.500
0.798 0.202 0.000
```

Properties
Symmetry: No. 136
E_form: 0.892 eV per atom

***

Entry 3:
Below is an optimized crystal structure of AlTc2PAu, with properties calculated at the PBE level.

Structure (POSCAR):
```
AlTc2PAu
1.0
4.565 0.000 0.000
0.000 4.565 0.000
0.000 0.000 4.351
Al Tc P Au
1 2 1 1
direct
0.000 0.000 0.000
0.000 0.500 0.000
0.500 0.000 0.000
0.000 0.000 0.500
0.500 0.500 0.500
```

Properties
Symmetry: No. 123
E_form: 1.366 eV per atom

***

Entry 4:
Below is an optimized crystal structure of Sc2OsRu2, with properties calculated at the PBE level.

Structure (POSCAR):
```
Sc2OsRu2
1.0
6.487 0.000 0.000
0.000 6.487 0.000
0.000 0.000 4.213
Sc Os Ru
4 2 4
direct
0.180 0.320 0.000
0.320 0.820 0.000
0.680 0.180 0.000
0.820 0.680 0.000
0.000 0.000 0.500
0.500 0.500 0.500
0.138 0.638 0.500
0.362 0.138 0.500
0.638 0.862 0.500
0.862 0.362 0.500
```

Properties
Symmetry: No. 127
E_form: -0.208 eV per atom

***

Entry 5:
Below is an optimized crystal structure of Hf3ScI, with properties calculated at the PBE level.

Structure (POSCAR):
```
Hf3ScI
1.0
5.164 0.000 0.000
0.000 5.164 0.000
0.000 0.000 5.164
Hf Sc I
3 1 1
direct
0.000 0.000 0.500
0.000 0.500 0.000
0.500 0.000 0.000
0.000 0.000 0.000
0.500 0.500 0.500
```

Properties
Symmetry: No. 221
Formation energy from raw total energies: 1.321 eV per atom

***

Entry 6:
Below is an optimized crystal structure of TaNb, with properties calculated at the PBE level.

Structure (POSCAR):
```
TaNb
1.0
7.432 0.000 0.000
0.000 7.432 0.000
0.000 0.000 7.432
Ta Nb
6 6
direct
0.000 0.250 0.500
0.000 0.750 0.500
0.250 0.500 0.000
0.500 0.000 0.250
0.500 0.000 0.750
0.750 0.500 0.000
0.000 0.500 0.250
0.000 0.500 0.750
0.250 0.000 0.500
0.500 0.250 0.000
0.500 0.750 0.000
0.750 0.000 0.500
```

Properties
Symmetry: No. 223
E_form: 2.854 eV per atom

***

Short version: magnetic moment = 0.00, 0.60, 1.18, 0.00, 0.00, 0.83 μB per formula unit, in the order given.
Short version: total DFT energy (no corrections) = -14.0, -41.4, -26.3, -87.0, -31.1, -97.3 eV per cell, in the order given.